This record from Alexandria describes LaSn3Rh after structural relaxation. The functional is GGA-PBE.

Properties
VASP energy	-5.112	eV per atom
space group	No. 221
formation energy from the elements	-0.2544	eV per atom

Structure (POSCAR):
```
LaSn3Rh
1.0
-3.3639 -3.9274 0.2417
2.3601 -2.2682 -4.0104
3.1485 -2.4958 3.2644
Rh Sn La
1 3 1
Cartesian
0.0000 0.0000 0.0000
1.1800 -1.1341 -2.0052
1.5742 -1.2479 1.6322
-1.6819 -1.9637 0.1208
1.0724 -4.3457 -0.2522
```